[1]
The following is a DFT calculation (GGA-PBE) of crystalline UPHPd at its relaxed geometry.

abc: 4.167 4.167 3.890
angles: 90.00 90.00 120.00
Last column: magnetic moment on the atom in μB.
Fractional positions:
U: 0.572 0.144 0.310  2.11
P: 0.905 0.811 0.810  -0.06
H: 0.239 0.477 0.310  -0.01
Pd: 0.239 0.477 0.810  -0.01

Values from the calculation:
Final energy = -0.50707 Ry per atom
Size of the total moment = 2.2 μB per cell

***

[2]
The following is a DFT calculation (GGA-PBE) of crystalline V2PHPd at its relaxed geometry.

abc: 3.632 4.338 3.632
angles: 90.00 90.00 90.00
Fractional positions:
P: 0.000 0.500 0.000
H: 0.000 0.000 0.000
Pd: 0.500 0.500 0.500
V: 0.000 0.000 0.500
V: 0.500 0.000 0.000

Values from the calculation:
Final energy = -0.47620 Ry per atom
Size of the total moment = 0.0 μB per cell

***

The lowest size of the total moment belongs to which entry? V2PHPd

***

Which formula does entry 2 have? V2PHPd

***

What did the second record say?
The following is a DFT calculation (GGA-PBE) of crystalline V2PHPd at its relaxed geometry.

abc: 3.632 4.338 3.632
angles: 90.00 90.00 90.00
Fractional positions:
P: 0.000 0.500 0.000
H: 0.000 0.000 0.000
Pd: 0.500 0.500 0.500
V: 0.000 0.000 0.500
V: 0.500 0.000 0.000

Values from the calculation:
Final energy = -0.47620 Ry per atom
Size of the total moment = 0.0 μB per cell

***

Repeat the second record exactly.
The following is a DFT calculation (GGA-PBE) of crystalline V2PHPd at its relaxed geometry.

abc: 3.632 4.338 3.632
angles: 90.00 90.00 90.00
Fractional positions:
P: 0.000 0.500 0.000
H: 0.000 0.000 0.000
Pd: 0.500 0.500 0.500
V: 0.000 0.000 0.500
V: 0.500 0.000 0.000

Values from the calculation:
Final energy = -0.47620 Ry per atom
Size of the total moment = 0.0 μB per cell